Density functional theory data (PBE) for a relaxed structure of MgTlAg.

Lattice parameters (Å, degrees): 6.211 6.211 3.420 74.01 74.02 31.97
Sites, in units of the cell vectors:
Ag 0.986 0.986 0.014
Mg 0.353 0.353 0.647
Tl 0.662 0.662 0.338

- formation energy from the elements (meV per atom) = -22.8
- E above lowest polymorph (eV/atom) = 0.0000